Computed, not measured: an optimized crystal structure of LiCeSO5 at the PBE level of DFT.

```
16
Lattice="4.256 -4.275 0.000 4.256 4.275 0.000 -3.940 0.000 7.083" Properties=species:S:1:pos:R:3 pbc="T T T"
Li 1.301 2.755 5.312
Li 3.271 -2.755 1.771
Ce 4.256 0.000 0.000
Ce 2.286 0.000 3.541
S 3.271 3.215 1.771
S 1.301 -3.215 5.312
O -1.942 0.142 5.929
O 0.028 -0.142 2.387
O 2.639 2.369 2.813
O 3.903 2.369 0.729
O 1.301 0.907 5.312
O 3.271 -0.907 1.771
O 0.669 -2.369 6.354
O 1.933 -2.369 4.270
O 4.544 0.142 4.695
O 6.514 -0.142 1.154
```

crystal system = monoclinic
magnetic moment = 1.0 μB per formula unit
total DFT energy (no corrections) = -6.774 eV per atom
DOS at the Fermi energy = 4.72 states/eV/f.u.
uncorrected formation energy = -2.1782 eV/atom